# 1
A plane-wave DFT calculation with PBE was carried out for a relaxed TcHPt2 crystal.

Cell lengths 4.2908, 4.2908, 4.2908 Å; angles 60.00, 60.00, 60.00 degrees
Positions (direct):
Pt: 0.2500 0.2500 0.2500
Pt: 0.7500 0.7500 0.7500
Tc: 0.5000 0.5000 0.5000
H: 0.0000 0.0000 0.0000

Output
space group = Fm-3m (225)
raw total energy = -0.424 Ry/atom

---

# 2
A plane-wave DFT calculation with PBE was carried out for a relaxed PuZr4N4 crystal.

Cell lengths 4.6024, 5.7650, 5.7648 Å; angles 80.84, 66.47, 66.47 degrees
Positions (direct):
Zr: 0.1875 0.2045 0.4206
Zr: 0.6081 0.5793 0.2044
Zr: 0.8125 0.7955 0.5794
Zr: 0.3919 0.4207 0.7956
N: 0.3080 0.7930 0.5911
N: 0.1009 0.5911 0.2071
N: 0.8991 0.4088 0.7929
N: 0.6920 0.2070 0.4089
Pu: 0.0000 0.0000 0.0000

Output
space group = I4/m (87)
formation energy without anion corrections = -137.1 kJ per mole of atoms